9
Lattice="3.961 0.000 0.000 0.000 3.961 0.000 0.000 0.000 7.427" Properties=species:S:1:pos:R:3 comment="NaAcFe2O5 | the Alexandria database | PBE with a Hubbard U | relaxed" e_tot_ev_per_cell=-58.8 m_tot_mub_per_atom=1.10 crystal_system=tetragonal pbc="T T T"
Na 0.000 0.000 0.000
Ac 0.000 0.000 3.713
Fe 1.980 1.980 1.763
Fe 1.980 1.980 5.664
O 0.000 1.980 1.700
O 1.980 0.000 1.700
O 0.000 1.980 5.727
O 1.980 0.000 5.727
O 1.980 1.980 3.713